# 1
# ZnOsI2O PBE optimized geometry
data_ZnOsI2O
_cell_length_a 5.4971
_cell_length_b 5.4971
_cell_length_c 3.5067
_cell_angle_alpha 90.00
_cell_angle_beta 90.00
_cell_angle_gamma 90.00
_symmetry_space_group_name_H-M 'P 4/m m m'
_symmetry_Int_Tables_number 123
_symmetry_space_group_name_Hall '-P 4 2'
loop_
_atom_site_label
_atom_site_type_symbol
_atom_site_fract_x
_atom_site_fract_y
_atom_site_fract_z
Zn1 Zn 0.0000 0.0000 0.0000
Os1 Os 0.5000 0.5000 0.5000
I1 I 0.0000 0.5000 0.0000
O1 O 0.0000 0.0000 0.5000
# Total magnetization ... 1.749 μB/cell
# Polymorph energy (0 for the lowest one) ... 837 meV/atom
# DOS(E_F) ... 1.548 states/eV/atom
# Formation energy (no corrections) ... 0.898 eV per atom



# 2
# ZnOsIO2 PBE optimized geometry
data_ZnOsIO2
_cell_length_a 3.7883
_cell_length_b 3.7883
_cell_length_c 8.4436
_cell_angle_alpha 90.00
_cell_angle_beta 90.00
_cell_angle_gamma 90.00
_symmetry_space_group_name_H-M 'P 4/m m m'
_symmetry_Int_Tables_number 123
_symmetry_space_group_name_Hall '-P 4 2'
loop_
_atom_site_label
_atom_site_type_symbol
_atom_site_fract_x
_atom_site_fract_y
_atom_site_fract_z
Zn1 Zn 0.0000 0.0000 0.0000
Os1 Os 0.5000 0.5000 0.5000
I1 I 0.5000 0.5000 0.0000
O1 O 0.0000 0.5000 0.5000
# Total magnetization ... 0.000 μB/cell
# Polymorph energy (0 for the lowest one) ... 0 meV/atom
# DOS(E_F) ... 0.324 states/eV/atom
# Formation energy (no corrections) ... -0.352 eV per atom



# 3
# ZrOsI2O PBE optimized geometry
data_ZrOsI2O
_cell_length_a 5.6217
_cell_length_b 5.6217
_cell_length_c 3.7093
_cell_angle_alpha 90.00
_cell_angle_beta 90.00
_cell_angle_gamma 90.00
_symmetry_space_group_name_H-M 'P 4/m m m'
_symmetry_Int_Tables_number 123
_symmetry_space_group_name_Hall '-P 4 2'
loop_
_atom_site_label
_atom_site_type_symbol
_atom_site_fract_x
_atom_site_fract_y
_atom_site_fract_z
Zr1 Zr 0.0000 0.0000 0.0000
Os1 Os 0.5000 0.5000 0.5000
I1 I 0.0000 0.5000 0.5000
O1 O 0.5000 0.5000 0.0000
# Total magnetization ... 2.011 μB/cell
# DOS(E_F) ... 1.136 states/eV/atom
# Formation energy (no corrections) ... 0.195 eV per atom



# 4
# ZrOsIO2 PBE optimized geometry
data_ZrOsIO2
_cell_length_a 3.8516
_cell_length_b 3.8516
_cell_length_c 7.1390
_cell_angle_alpha 90.00
_cell_angle_beta 90.00
_cell_angle_gamma 90.00
_symmetry_space_group_name_H-M 'P 4/m m m'
_symmetry_Int_Tables_number 123
_symmetry_space_group_name_Hall '-P 4 2'
loop_
_atom_site_label
_atom_site_type_symbol
_atom_site_fract_x
_atom_site_fract_y
_atom_site_fract_z
Zr1 Zr 0.0000 0.0000 0.0000
Os1 Os 0.5000 0.5000 0.5000
I1 I 0.5000 0.5000 0.0000
O1 O 0.0000 0.5000 0.5000
# Total magnetization ... 0.117 μB/cell
# Polymorph energy (0 for the lowest one) ... 479 meV/atom
# DOS(E_F) ... 0.961 states/eV/atom
# Formation energy (no corrections) ... -0.003 eV per atom



# 5
# ZrOsI2O PBE optimized geometry
data_ZrOsI2O
_cell_length_a 5.8697
_cell_length_b 5.8697
_cell_length_c 3.9768
_cell_angle_alpha 90.00
_cell_angle_beta 90.00
_cell_angle_gamma 90.00
_symmetry_space_group_name_H-M 'P 4/m m m'
_symmetry_Int_Tables_number 123
_symmetry_space_group_name_Hall '-P 4 2'
loop_
_atom_site_label
_atom_site_type_symbol
_atom_site_fract_x
_atom_site_fract_y
_atom_site_fract_z
Zr1 Zr 0.0000 0.0000 0.0000
Os1 Os 0.5000 0.5000 0.5000
I1 I 0.0000 0.5000 0.0000
O1 O 0.0000 0.0000 0.5000
# Total magnetization ... 4.187 μB/cell
# DOS(E_F) ... 0.705 states/eV/atom
# Formation energy (no corrections) ... 0.194 eV per atom



# 6
# ZrOsIO2 PBE optimized geometry
data_ZrOsIO2
_cell_length_a 4.0333
_cell_length_b 4.0333
_cell_length_c 6.4076
_cell_angle_alpha 90.00
_cell_angle_beta 90.00
_cell_angle_gamma 90.00
_symmetry_space_group_name_H-M 'P 4/m m m'
_symmetry_Int_Tables_number 123
_symmetry_space_group_name_Hall '-P 4 2'
loop_
_atom_site_label
_atom_site_type_symbol
_atom_site_fract_x
_atom_site_fract_y
_atom_site_fract_z
Zr1 Zr 0.0000 0.0000 0.0000
Os1 Os 0.5000 0.5000 0.5000
I1 I 0.0000 0.0000 0.5000
O1 O 0.0000 0.5000 0.0000
# Total magnetization ... 2.540 μB/cell
# Polymorph energy (0 for the lowest one) ... 0 meV/atom
# DOS(E_F) ... 1.048 states/eV/atom
# Formation energy (no corrections) ... -0.482 eV per atom



# 7
# PIO PBE optimized geometry
data_PIO
_cell_length_a 10.3768
_cell_length_b 3.9035
_cell_length_c 9.9764
_cell_angle_alpha 90.00
_cell_angle_beta 90.00
_cell_angle_gamma 90.00
_symmetry_space_group_name_H-M 'P n m a'
_symmetry_Int_Tables_number 62
loop_
_symmetry_equiv_pos_as_xyz
'x,y,z'
'-x,-y,-z'
'-x+1/2,-y,z+1/2'
'x+1/2,y,-z+1/2'
'x+1/2,-y+1/2,-z+1/2'
'-x+1/2,y+1/2,z+1/2'
'-x,y+1/2,-z'
'x,-y+1/2,z'
loop_
_atom_site_label
_atom_site_type_symbol
_atom_site_fract_x
_atom_site_fract_y
_atom_site_fract_z
P1 P 0.1518 0.2500 0.0315
I1 I 0.1777 0.2500 0.6220
O1 O 0.0410 0.2500 0.1260
# Total magnetization ... 0.000 μB/cell
# DOS(E_F) ... 0.000 states/eV/atom
# Formation energy (no corrections) ... -0.678 eV per atom



# 8
# P2IO8 PBE optimized geometry
data_P2IO8
_cell_length_a 11.8952
_cell_length_b 6.4845
_cell_length_c 4.8355
_cell_angle_alpha 90.00
_cell_angle_beta 97.71
_cell_angle_gamma 90.00
_symmetry_space_group_name_H-M 'C 1 2/m 1'
_symmetry_Int_Tables_number 12
loop_
_symmetry_equiv_pos_as_xyz
'x,y,z'
'-x,-y,-z'
'-x,y,-z'
'x,-y,z'
'x+1/2,y+1/2,z'
'-x+1/2,-y+1/2,-z'
'-x+1/2,y+1/2,-z'
'x+1/2,-y+1/2,z'
loop_
_atom_site_label
_atom_site_type_symbol
_atom_site_fract_x
_atom_site_fract_y
_atom_site_fract_z
P1 P 0.1646 0.0000 0.1407
I1 I 0.0000 0.0000 0.5000
O1 O 0.1002 0.1873 0.2670
O2 O 0.1387 0.0000 0.8102
O3 O 0.2090 0.5000 0.8022
# Total magnetization ... 1.993 μB/cell
# DOS(E_F) ... 0.074 states/eV/atom
# Formation energy (no corrections) ... -1.150 eV per atom



# 9
# P2IO PBE optimized geometry
data_P2IO
_cell_length_a 4.9199
_cell_length_b 4.9199
_cell_length_c 13.1179
_cell_angle_alpha 90.00
_cell_angle_beta 90.00
_cell_angle_gamma 90.00
_symmetry_space_group_name_H-M 'I -4 2 d'
_symmetry_Int_Tables_number 122
_symmetry_space_group_name_Hall 'I -4 2bw'
loop_
_atom_site_label
_atom_site_type_symbol
_atom_site_fract_x
_atom_site_fract_y
_atom_site_fract_z
P1 P 0.0011 0.7500 0.1250
I1 I 0.0000 0.0000 0.5000
O1 O 0.0000 0.0000 0.0000
# Total magnetization ... 0.000 μB/cell
# Polymorph energy (0 for the lowest one) ... 0 meV/atom
# DOS(E_F) ... 0.463 states/eV/atom
# Formation energy (no corrections) ... 0.316 eV per atom



# 10
# P3IO PBE optimized geometry
data_P3IO
_cell_length_a 5.1292
_cell_length_b 5.1292
_cell_length_c 5.1292
_cell_angle_alpha 90.00
_cell_angle_beta 90.00
_cell_angle_gamma 90.00
_symmetry_space_group_name_H-M 'P m -3 m'
_symmetry_Int_Tables_number 221
_symmetry_space_group_name_Hall '-P 4 2 3'
loop_
_atom_site_label
_atom_site_type_symbol
_atom_site_fract_x
_atom_site_fract_y
_atom_site_fract_z
P1 P 0.0000 0.0000 0.5000
I1 I 0.0000 0.0000 0.0000
O1 O 0.5000 0.5000 0.5000
# Total magnetization ... 0.000 μB/cell
# Polymorph energy (0 for the lowest one) ... 1306 meV/atom
# DOS(E_F) ... 1.926 states/eV/atom
# Formation energy (no corrections) ... 2.245 eV per atom



# 11
# P2IO PBE optimized geometry
data_P2IO
_cell_length_a 6.4245
_cell_length_b 6.4245
_cell_length_c 6.4245
_cell_angle_alpha 90.00
_cell_angle_beta 90.00
_cell_angle_gamma 90.00
_symmetry_space_group_name_H-M 'F m -3 m'
_symmetry_Int_Tables_number 225
_symmetry_space_group_name_Hall '-F 4 2 3'
loop_
_atom_site_label
_atom_site_type_symbol
_atom_site_fract_x
_atom_site_fract_y
_atom_site_fract_z
P1 P 0.2500 0.2500 0.2500
I1 I 0.0000 0.0000 0.0000
O1 O 0.0000 0.0000 0.5000
# Total magnetization ... 0.000 μB/cell
# Polymorph energy (0 for the lowest one) ... 839 meV/atom
# DOS(E_F) ... 0.738 states/eV/atom
# Formation energy (no corrections) ... 1.155 eV per atom



# 12
# P3IO PBE optimized geometry
data_P3IO
_cell_length_a 4.3906
_cell_length_b 4.3906
_cell_length_c 4.3906
_cell_angle_alpha 90.00
_cell_angle_beta 90.00
_cell_angle_gamma 90.00
_symmetry_space_group_name_H-M 'P m -3 m'
_symmetry_Int_Tables_number 221
_symmetry_space_group_name_Hall '-P 4 2 3'
loop_
_atom_site_label
_atom_site_type_symbol
_atom_site_fract_x
_atom_site_fract_y
_atom_site_fract_z
P1 P 0.0000 0.0000 0.5000
I1 I 0.5000 0.5000 0.5000
O1 O 0.0000 0.0000 0.0000
# Total magnetization ... 0.000 μB/cell
# Polymorph energy (0 for the lowest one) ... 0 meV/atom
# DOS(E_F) ... 0.644 states/eV/atom
# Formation energy (no corrections) ... 0.938 eV per atom



# 13
# PaP2IO8 PBE optimized geometry
data_PaP2IO8
_cell_length_a 5.5491
_cell_length_b 5.5491
_cell_length_c 8.8270
_cell_angle_alpha 90.00
_cell_angle_beta 90.00
_cell_angle_gamma 120.00
_symmetry_space_group_name_H-M 'P -3 m 1'
_symmetry_Int_Tables_number 164
_symmetry_space_group_name_Hall '-P 3 2"'
loop_
_atom_site_label
_atom_site_type_symbol
_atom_site_fract_x
_atom_site_fract_y
_atom_site_fract_z
Pa1 Pa 0.0000 0.0000 0.0000
P1 P 0.3333 0.6667 0.7884
I1 I 0.0000 0.0000 0.5000
O1 O 0.1833 0.3666 0.8574
O2 O 0.3333 0.6667 0.6166
# Total magnetization ... 2.001 μB/cell
# DOS(E_F) ... 0.105 states/eV/atom
# Formation energy (no corrections) ... -2.199 eV per atom



# 14
# P3Pb5IO12 PBE optimized geometry
data_P3Pb5IO12
_cell_length_a 10.4534
_cell_length_b 10.4534
_cell_length_c 7.4179
_cell_angle_alpha 90.00
_cell_angle_beta 90.00
_cell_angle_gamma 120.00
_symmetry_space_group_name_H-M 'P 63/m'
_symmetry_Int_Tables_number 176
_symmetry_space_group_name_Hall '-P 6c'
loop_
_atom_site_label
_atom_site_type_symbol
_atom_site_fract_x
_atom_site_fract_y
_atom_site_fract_z
P1 P 0.0420 0.4181 0.2500
Pb1 Pb 0.0229 0.7449 0.2500
Pb2 Pb 0.3333 0.6667 0.5063
I1 I 0.0000 0.0000 0.0000
O1 O 0.0941 0.3681 0.0802
O2 O 0.1244 0.6340 0.7500
O3 O 0.1359 0.5942 0.2500
# Total magnetization ... 0.000 μB/cell
# DOS(E_F) ... 0.000 states/eV/atom
# Formation energy (no corrections) ... -1.802 eV per atom



# 15
# P2PbIO8 PBE optimized geometry
data_P2PbIO8
_cell_length_a 8.4075
_cell_length_b 5.2883
_cell_length_c 8.3168
_cell_angle_alpha 90.00
_cell_angle_beta 95.04
_cell_angle_gamma 90.00
_symmetry_space_group_name_H-M 'C 1 2/m 1'
_symmetry_Int_Tables_number 12
loop_
_symmetry_equiv_pos_as_xyz
'x,y,z'
'-x,-y,-z'
'-x,y,-z'
'x,-y,z'
'x+1/2,y+1/2,z'
'-x+1/2,-y+1/2,-z'
'-x+1/2,y+1/2,-z'
'x+1/2,-y+1/2,z'
loop_
_atom_site_label
_atom_site_type_symbol
_atom_site_fract_x
_atom_site_fract_y
_atom_site_fract_z
P1 P 0.1442 0.0000 0.2623
Pb1 Pb 0.0000 0.5000 0.0000
I1 I 0.0000 0.5000 0.5000
O1 O 0.0397 0.2447 0.2711
O2 O 0.2196 0.0000 0.1034
O3 O 0.2385 0.5000 0.5782
# Total magnetization ... 1.981 μB/cell
# DOS(E_F) ... 0.103 states/eV/atom
# Formation energy (no corrections) ... -1.439 eV per atom



# 16
# PPdI2O PBE optimized geometry
data_PPdI2O
_cell_length_a 5.5690
_cell_length_b 5.5690
_cell_length_c 3.4779
_cell_angle_alpha 90.00
_cell_angle_beta 90.00
_cell_angle_gamma 90.00
_symmetry_space_group_name_H-M 'P 4/m m m'
_symmetry_Int_Tables_number 123
_symmetry_space_group_name_Hall '-P 4 2'
loop_
_atom_site_label
_atom_site_type_symbol
_atom_site_fract_x
_atom_site_fract_y
_atom_site_fract_z
P1 P 0.0000 0.0000 0.0000
Pd1 Pd 0.5000 0.5000 0.5000
I1 I 0.0000 0.5000 0.0000
O1 O 0.0000 0.0000 0.5000
# Total magnetization ... 0.000 μB/cell
# Polymorph energy (0 for the lowest one) ... 0 meV/atom
# DOS(E_F) ... 1.095 states/eV/atom
# Formation energy (no corrections) ... 0.046 eV per atom



# 17
# PPdIO2 PBE optimized geometry
data_PPdIO2
_cell_length_a 3.6295
_cell_length_b 3.6295
_cell_length_c 6.2317
_cell_angle_alpha 90.00
_cell_angle_beta 90.00
_cell_angle_gamma 90.00
_symmetry_space_group_name_H-M 'P 4/m m m'
_symmetry_Int_Tables_number 123
_symmetry_space_group_name_Hall '-P 4 2'
loop_
_atom_site_label
_atom_site_type_symbol
_atom_site_fract_x
_atom_site_fract_y
_atom_site_fract_z
P1 P 0.0000 0.0000 0.0000
Pd1 Pd 0.5000 0.5000 0.5000
I1 I 0.0000 0.0000 0.5000
O1 O 0.0000 0.5000 0.0000
# Total magnetization ... 0.000 μB/cell
# Polymorph energy (0 for the lowest one) ... 0 meV/atom
# DOS(E_F) ... 0.417 states/eV/atom
# Formation energy (no corrections) ... -0.251 eV per atom



# 18
# P2PdIO PBE optimized geometry
data_P2PdIO
_cell_length_a 5.1381
_cell_length_b 5.1381
_cell_length_c 3.8308
_cell_angle_alpha 90.00
_cell_angle_beta 90.00
_cell_angle_gamma 90.00
_symmetry_space_group_name_H-M 'P 4/m m m'
_symmetry_Int_Tables_number 123
_symmetry_space_group_name_Hall '-P 4 2'
loop_
_atom_site_label
_atom_site_type_symbol
_atom_site_fract_x
_atom_site_fract_y
_atom_site_fract_z
P1 P 0.0000 0.5000 0.0000
Pd1 Pd 0.0000 0.0000 0.5000
I1 I 0.5000 0.5000 0.0000
O1 O 0.5000 0.5000 0.5000
# Total magnetization ... 0.000 μB/cell
# Polymorph energy (0 for the lowest one) ... 495 meV/atom
# DOS(E_F) ... 0.526 states/eV/atom
# Formation energy (no corrections) ... 1.048 eV per atom



# 19
# PPdI2O PBE optimized geometry
data_PPdI2O
_cell_length_a 5.5508
_cell_length_b 5.5508
_cell_length_c 3.8288
_cell_angle_alpha 90.00
_cell_angle_beta 90.00
_cell_angle_gamma 90.00
_symmetry_space_group_name_H-M 'P 4/m m m'
_symmetry_Int_Tables_number 123
_symmetry_space_group_name_Hall '-P 4 2'
loop_
_atom_site_label
_atom_site_type_symbol
_atom_site_fract_x
_atom_site_fract_y
_atom_site_fract_z
P1 P 0.0000 0.0000 0.0000
Pd1 Pd 0.5000 0.5000 0.5000
I1 I 0.0000 0.5000 0.5000
O1 O 0.5000 0.5000 0.0000
# Total magnetization ... 0.000 μB/cell
# Polymorph energy (0 for the lowest one) ... 473 meV/atom
# DOS(E_F) ... 1.157 states/eV/atom
# Formation energy (no corrections) ... 0.519 eV per atom



# 20
# PPdIO2 PBE optimized geometry
data_PPdIO2
_cell_length_a 3.8703
_cell_length_b 3.8703
_cell_length_c 5.6947
_cell_angle_alpha 90.00
_cell_angle_beta 90.00
_cell_angle_gamma 90.00
_symmetry_space_group_name_H-M 'P 4/m m m'
_symmetry_Int_Tables_number 123
_symmetry_space_group_name_Hall '-P 4 2'
loop_
_atom_site_label
_atom_site_type_symbol
_atom_site_fract_x
_atom_site_fract_y
_atom_site_fract_z
P1 P 0.0000 0.0000 0.0000
Pd1 Pd 0.5000 0.5000 0.0000
I1 I 0.0000 0.0000 0.5000
O1 O 0.0000 0.5000 0.5000
# Total magnetization ... 0.000 μB/cell
# Polymorph energy (0 for the lowest one) ... 617 meV/atom
# DOS(E_F) ... 0.512 states/eV/atom
# Formation energy (no corrections) ... 0.366 eV per atom